No. 1
Compound: BePSe2
Source: the Alexandria database
Functional: meta-GGA SCAN
Structure: PBEsol geometry

Output
Space group: No. 123
Calculated total energy in eV per atom: -13.035
ρ in Mg/m³: 5.3
Size of the total moment in μB/f.u.: 0.00
Offset from the most stable computed form in eV per atom: 0.391

abc: 3.1320 3.1320 6.3107
angles: 90.00 90.00 90.00
Atoms (fractional coordinates):
Be 0.5000 0.5000 0.0000
Se 0.0000 0.0000 0.2274
Se 0.0000 0.0000 0.7726
P 0.5000 0.5000 0.5000

=====

No. 2
Compound: BePSe2
Source: the Alexandria database
Functional: meta-GGA SCAN
Structure: PBEsol geometry

Output
Space group: No. 225
Calculated total energy in eV per atom: -12.974
ρ in Mg/m³: 5.2
Size of the total moment in μB/f.u.: 0.00
Offset from the most stable computed form in eV per atom: 0.453

abc: 4.4697 4.4697 4.4697
angles: 60.00 60.00 60.00
Atoms (fractional coordinates):
P 0.5000 0.5000 0.5000
Se 0.7500 0.7500 0.7500
Se 0.2500 0.2500 0.2500
Be 0.0000 0.0000 0.0000

=====

No. 3
Compound: BeP4Se
Source: the Alexandria database
Functional: meta-GGA SCAN
Structure: PBEsol geometry

Output
Space group: No. 216
Calculated total energy in eV per atom: -9.980
ρ in Mg/m³: 3.9
Size of the total moment in μB/f.u.: 0.00

abc: 5.0307 5.0307 5.0307
angles: 60.00 60.00 60.00
Atoms (fractional coordinates):
P 0.1395 0.6202 0.6202
P 0.6202 0.6202 0.1395
P 0.6202 0.1395 0.6202
P 0.6202 0.6202 0.6202
Be 0.0000 0.0000 0.0000
Se 0.2500 0.2500 0.2500

=====

No. 4
Compound: BeSi2P
Source: the Alexandria database
Functional: meta-GGA SCAN
Structure: PBEsol geometry

Output
Space group: No. 25
Calculated total energy in eV per atom: -8.471
ρ in Mg/m³: 2.7
Size of the total moment in μB/f.u.: 0.00
Offset from the most stable computed form in eV per atom: 0.000

abc: 2.8317 3.4958 6.0749
angles: 90.00 90.00 90.00
Atoms (fractional coordinates):
Be 0.0000 0.0000 0.3259
Si 0.0000 0.0000 0.9559
Si 0.5000 0.5000 0.7940
P 0.5000 0.5000 0.4242

=====

No. 5
Compound: Be2SiP
Source: the Alexandria database
Functional: meta-GGA SCAN
Structure: PBEsol geometry

Output
Space group: No. 166
Calculated total energy in eV per atom: -6.932
ρ in Mg/m³: 2.7
Size of the total moment in μB/f.u.: 0.00
Offset from the most stable computed form in eV per atom: 0.000

abc: 2.9563 2.9563 6.5693
angles: 77.00 77.00 60.00
Atoms (fractional coordinates):
Si 0.0000 0.0000 0.0000
Be 0.2432 0.2432 0.2705
Be 0.7568 0.7568 0.7295
P 0.5000 0.5000 0.5000

=====

No. 6
Compound: BeSi2P
Source: the Alexandria database
Functional: meta-GGA SCAN
Structure: PBEsol geometry

Output
Space group: No. 44
Calculated total energy in eV per atom: -8.226
ρ in Mg/m³: 3.0
Size of the total moment in μB/f.u.: 0.00
Offset from the most stable computed form in eV per atom: 0.246

abc: 3.2665 3.3889 5.4130
angles: 108.24 107.56 90.00
Atoms (fractional coordinates):
Be 0.4818 0.4818 0.9635
Si 0.0073 0.0073 0.0147
Si 0.1893 0.6893 0.3786
P 0.8216 0.3216 0.6432

=====

No. 7
Compound: Be3SiP
Source: the Alexandria database
Functional: meta-GGA SCAN
Structure: PBEsol geometry

Output
Space group: No. 221
Calculated total energy in eV per atom: -5.705
ρ in Mg/m³: 2.0
Size of the total moment in μB/f.u.: 0.20

abc: 4.1708 4.1708 4.1708
angles: 90.00 90.00 90.00
Site moments in Bohr magnetons follow the coordinates.
Atoms (fractional coordinates):
Si 0.0000 0.0000 0.0000  -0.03
Be 0.0000 0.0000 0.5000  0.00
Be 0.0000 0.5000 0.0000  0.00
Be 0.5000 0.0000 0.0000  0.00
P 0.5000 0.5000 0.5000  -0.07

=====

No. 8
Compound: Be2SiP
Source: the Alexandria database
Functional: meta-GGA SCAN
Structure: PBEsol geometry

Output
Space group: No. 139
Calculated total energy in eV per atom: -6.772
ρ in Mg/m³: 2.9
Size of the total moment in μB/f.u.: 0.00
Offset from the most stable computed form in eV per atom: 0.160

abc: 3.6246 3.6246 4.2364
angles: 115.33 115.33 90.00
Atoms (fractional coordinates):
Be 0.7500 0.2500 0.5000
Be 0.2500 0.7500 0.5000
P 0.5000 0.5000 0.0000
Si 0.0000 0.0000 0.0000

=====

No. 9
Compound: BeSiP
Source: the Alexandria database
Functional: meta-GGA SCAN
Structure: PBEsol geometry

Output
Space group: No. 187
Calculated total energy in eV per atom: -7.786
ρ in Mg/m³: 3.0
Size of the total moment in μB/f.u.: 0.00

abc: 2.4074 4.2209 4.2209
angles: 120.00 90.00 90.00
Atoms (fractional coordinates):
Be 0.0000 0.0000 0.0000
Si 0.0000 0.6667 0.3333
P 0.0000 0.3333 0.6667

=====

No. 10
Compound: BeSn3P
Source: the Alexandria database
Functional: meta-GGA SCAN
Structure: PBEsol geometry

Output
Energy of formation from the pure elements in eV per atom: 0.60
Space group: No. 221
Calculated total energy in eV per atom: -23.904
ρ in Mg/m³: 6.0
Size of the total moment in μB/f.u.: 0.00

abc: 4.7907 4.7907 4.7907
angles: 90.00 90.00 90.00
Atoms (fractional coordinates):
Sn 0.0000 0.0000 0.5000
Sn 0.0000 0.5000 0.0000
Sn 0.5000 0.0000 0.0000
P 0.5000 0.5000 0.5000
Be 0.0000 0.0000 0.0000

=====

No. 11
Compound: Be3SnP
Source: the Alexandria database
Functional: meta-GGA SCAN
Structure: PBEsol geometry

Output
Energy of formation from the pure elements in eV per atom: 0.56
Space group: No. 221
Calculated total energy in eV per atom: -11.312
ρ in Mg/m³: 4.0
Size of the total moment in μB/f.u.: 0.00

abc: 4.1999 4.1999 4.1999
angles: 90.00 90.00 90.00
Atoms (fractional coordinates):
Be 0.0000 0.0000 0.5000
Be 0.5000 0.0000 0.0000
Be 0.0000 0.5000 0.0000
P 0.0000 0.0000 0.0000
Sn 0.5000 0.5000 0.5000

=====

No. 12
Compound: SrBeP2
Source: the Alexandria database
Functional: meta-GGA SCAN
Structure: PBEsol geometry

Output
Energy of formation from the pure elements in eV per atom: -0.22
Space group: No. 65
Calculated total energy in eV per atom: -12.076
ρ in Mg/m³: 3.3
Size of the total moment in μB/f.u.: 0.00

abc: 3.8734 3.7211 6.4536
angles: 90.00 90.00 121.36
Atoms (fractional coordinates):
P 0.0000 0.0000 0.1746
P 0.0000 0.0000 0.8254
Be 0.5000 0.0000 0.0000
Sr 0.5000 0.0000 0.5000